No. 1
## Na2MoAuC (GGA-PBE)

Data for Na2MoAuC after structural relaxation.

a b c (Å): 5.2409 5.2409 3.8979
angles (deg): 90.00 90.00 90.00
With the nearest neighbours (Å) after each atom.
Positions (direct):
Na: 0.0000 0.5000 0.0000  2 C 2.62
Na: 0.5000 0.0000 0.0000  2 C 2.62
Mo: 0.0000 0.0000 0.5000  8 Na 3.27
Au: 0.5000 0.5000 0.5000  2 C 1.95
C: 0.5000 0.5000 0.0000  2 Au 1.95

Output
Fermi-level density of states: 2.34 states/eV/f.u.
V: 107.1 Å³ per cell
E_form: 1.274 eV/atom
E: -3.920 eV per atom
total magnetic moment: 4.77 μB per cell
symmetry: P4/mmm

---

No. 2
## LaTlPdPt (GGA-PBE)

Data for LaTlPdPt after structural relaxation.

a b c (Å): 5.0019 5.0019 5.0019
angles (deg): 60.00 60.00 60.00
With the nearest neighbours (Å) after each atom.
Positions (direct):
La: 0.0000 0.0000 0.0000  4 Pd 3.06, 4 Pt 3.06
Tl: 0.5000 0.5000 0.5000  4 Pd 3.06, 4 Pt 3.06
Pd: 0.7500 0.7500 0.7500  4 Tl 3.06, 4 La 3.06
Pt: 0.2500 0.2500 0.2500  4 Tl 3.06, 4 La 3.06

Output
Fermi-level density of states: 2.99 states/eV/f.u.
V: 88.5 Å³ per cell
E_form: -0.646 eV/atom
E: -5.278 eV per atom
total magnetic moment: 0.00 μB per cell
symmetry: F-43m

---

No. 3
## Ac2DyMg16 (GGA-PBE)

Data for Ac2DyMg16 after structural relaxation.

a b c (Å): 7.9877 7.9877 7.9877
angles (deg): 82.74 82.74 82.74
With the nearest neighbours (Å) after each atom.
Positions (direct):
Ac: 0.0000 0.0000 0.0000  10 Mg 3.55-3.75
Ac: 0.3251 0.3251 0.3251  1 Dy 3.73, 18 Mg 3.74-4.14
Dy: 0.5660 0.5660 0.5660  13 Mg 3.17-3.45
Mg: 0.0104 0.0104 0.4989  9 Mg 3.04-3.30
Mg: 0.0104 0.4989 0.0104  9 Mg 3.04-3.30
Mg: 0.1549 0.6608 0.6608  9 Mg 3.04-3.13, 1 Dy 3.29
Mg: 0.3083 0.3083 0.8117  8 Mg 3.04-3.26, 1 Dy 3.37
Mg: 0.3083 0.8117 0.3083  8 Mg 3.04-3.26, 1 Dy 3.37
Mg: 0.3620 0.6598 0.9550  8 Mg 3.04-3.26
Mg: 0.3620 0.9550 0.6598  8 Mg 3.04-3.26
Mg: 0.4989 0.0104 0.0104  9 Mg 3.04-3.30
Mg: 0.6598 0.3620 0.9550  8 Mg 3.04-3.26
Mg: 0.6598 0.9550 0.3620  8 Mg 3.04-3.26
Mg: 0.6608 0.1549 0.6608  9 Mg 3.04-3.13, 1 Dy 3.29
Mg: 0.6608 0.6608 0.1549  9 Mg 3.04-3.13, 1 Dy 3.29
Mg: 0.7705 0.7705 0.7705  6 Mg 3.13-3.30, 1 Dy 3.17
Mg: 0.8117 0.3083 0.3083  8 Mg 3.04-3.26, 1 Dy 3.37
Mg: 0.9550 0.3620 0.6598  8 Mg 3.04-3.26
Mg: 0.9550 0.6598 0.3620  8 Mg 3.04-3.26

Output
Fermi-level density of states: 11.23 states/eV/f.u.
V: 498.3 Å³ per cell
E_form: -0.064 eV/atom
E: -2.082 eV per atom
total magnetic moment: 0.00 μB per cell
symmetry: R3m

---

No. 4
## AlZn2Pb (GGA-PBE)

Data for AlZn2Pb after structural relaxation.

a b c (Å): 3.8281 4.4938 5.1395
angles (deg): 90.00 91.08 90.00
With the nearest neighbours (Å) after each atom.
Positions (direct):
Al: 0.0000 0.0000 0.0000  4 Zn 2.56-2.61
Zn: 0.0271 0.5000 0.7430  2 Zn 2.58, 2 Al 2.61
Zn: 0.0465 0.0000 0.4967  2 Al 2.56-2.60, 2 Zn 2.58
Pb: 0.5210 0.5000 0.2468  8 Zn 3.17-3.26, 4 Al 3.18-3.25

Output
Fermi-level density of states: 1.04 states/eV/f.u.
V: 88.4 Å³ per cell
E_form: 0.187 eV/atom
E: -2.313 eV per atom
E above lowest polymorph: 0.046 eV/atom
total magnetic moment: 0.00 μB per cell
symmetry: Pm